--- A ---
# NdYZn2Sn2

Crystalline NdYZn2Sn2 at its relaxed geometry (PBE, OQMD).

Unit cell a=4.553 b=4.553 c=16.142 alpha=90.00 beta=90.00 gamma=120.00
Positions (direct):
Zn  0.333  0.667  0.655
Zn  0.667  0.333  0.155
Zn  0.667  0.333  0.345
Zn  0.333  0.667  0.845
Sn  0.333  0.667  0.388
Sn  0.667  0.333  0.888
Sn  0.667  0.333  0.612
Sn  0.333  0.667  0.112
Nd  0.000  0.000  0.750
Nd  0.000  0.000  0.250
Y  0.000  0.000  0.500
Y  0.000  0.000  0.000

--- B ---
# NdYZn2Sn2

Crystalline NdYZn2Sn2 at its relaxed geometry (PBE, OQMD).

Unit cell a=4.540 b=4.540 c=16.225 alpha=90.00 beta=90.00 gamma=120.00
Positions (direct):
Zn  0.333  0.667  0.839
Zn  0.667  0.333  0.339
Zn  0.333  0.667  0.661
Zn  0.667  0.333  0.161
Nd  0.000  0.000  0.000
Nd  0.000  0.000  0.500
Sn  0.333  0.667  0.382
Sn  0.333  0.667  0.118
Sn  0.667  0.333  0.618
Sn  0.667  0.333  0.882
Y  0.000  0.000  0.750
Y  0.000  0.000  0.250

B is the most stable structure; the next one sits 1.4 kJ/mol of atoms above it.

--- A ---
# SrNd

Crystalline SrNd at its relaxed geometry (PBE, OQMD).

Unit cell a=4.936 b=4.936 c=4.936 alpha=60.00 beta=60.00 gamma=60.00
Positions (direct):
Sr  0.500  0.500  0.500
Nd  0.000  0.000  0.000

--- B ---
# SrNd

Crystalline SrNd at its relaxed geometry (PBE, OQMD).

Unit cell a=3.871 b=3.871 c=6.459 alpha=90.00 beta=90.00 gamma=120.00
Positions (direct):
Sr  0.333  0.667  0.250
Nd  0.667  0.333  0.750

--- C ---
# SrNd

Crystalline SrNd at its relaxed geometry (PBE, OQMD).

Unit cell a=5.465 b=5.465 c=5.465 alpha=60.00 beta=60.00 gamma=60.00
Positions (direct):
Nd  0.000  0.000  0.000
Sr  0.250  0.250  0.250

B is the most stable structure; the next one sits 56.6 kJ/mol of atoms above it.

--- A ---
# NdTa

Crystalline NdTa at its relaxed geometry (PBE, OQMD).

Unit cell a=3.175 b=3.175 c=5.531 alpha=90.00 beta=90.00 gamma=120.00
Positions (direct):
Ta  0.333  0.667  0.250
Nd  0.667  0.333  0.750

--- B ---
# NdTa

Crystalline NdTa at its relaxed geometry (PBE, OQMD).

Unit cell a=4.263 b=4.263 c=4.263 alpha=60.00 beta=60.00 gamma=60.00
Positions (direct):
Nd  0.000  0.000  0.000
Ta  0.500  0.500  0.500

A is the most stable structure; the next one sits 84.7 kJ/mol of atoms above it.

--- A ---
# Tb2Nd

Crystalline Tb2Nd at its relaxed geometry (PBE, OQMD).

Unit cell a=8.960 b=8.960 c=8.960 alpha=60.00 beta=60.00 gamma=60.00
Positions (direct):
Tb  0.000  0.000  0.000
Tb  0.000  0.000  0.500
Tb  0.500  0.000  0.000
Tb  0.000  0.500  0.000
Nd  0.125  0.125  0.125
Nd  0.875  0.875  0.875

--- B ---
# Tb2Nd

Crystalline Tb2Nd at its relaxed geometry (PBE, OQMD).

Unit cell a=5.476 b=5.476 c=5.476 alpha=60.00 beta=60.00 gamma=60.00
Positions (direct):
Tb  0.750  0.750  0.750
Tb  0.250  0.250  0.250
Nd  0.000  0.000  0.000

B is the most stable structure; the next one sits 160.2 kJ/mol of atoms above it.

--- A ---
# TbNd2

Crystalline TbNd2 at its relaxed geometry (PBE, OQMD).

Unit cell a=9.018 b=9.018 c=9.018 alpha=60.00 beta=60.00 gamma=60.00
Positions (direct):
Nd  0.375  0.375  0.375
Nd  0.375  0.875  0.375
Nd  0.375  0.375  0.875
Nd  0.875  0.375  0.375
Tb  0.500  0.500  0.500
Tb  0.250  0.250  0.250

--- B ---
# TbNd2

Crystalline TbNd2 at its relaxed geometry (PBE, OQMD).

Unit cell a=5.528 b=5.528 c=5.528 alpha=60.00 beta=60.00 gamma=60.00
Positions (direct):
Tb  0.000  0.000  0.000
Nd  0.750  0.750  0.750
Nd  0.250  0.250  0.250

B is the most stable structure; the next one sits 144.6 kJ/mol of atoms above it.

--- A ---
# TbNd

Crystalline TbNd at its relaxed geometry (PBE, OQMD).

Unit cell a=4.918 b=4.918 c=4.918 alpha=60.00 beta=60.00 gamma=60.00
Positions (direct):
Nd  0.000  0.000  0.000
Tb  0.250  0.250  0.250

--- B ---
# TbNd

Crystalline TbNd at its relaxed geometry (PBE, OQMD).

Unit cell a=4.593 b=4.593 c=4.593 alpha=60.00 beta=60.00 gamma=60.00
Positions (direct):
Nd  0.000  0.000  0.000
Tb  0.500  0.500  0.500

B is the most stable structure; the next one sits 102.3 kJ/mol of atoms above it.

--- A ---
# NdTc

Crystalline NdTc at its relaxed geometry (PBE, OQMD).

Unit cell a=4.139 b=4.139 c=4.139 alpha=60.00 beta=60.00 gamma=60.00
Positions (direct):
Tc  0.500  0.500  0.500
Nd  0.000  0.000  0.000

--- B ---
# NdTc

Crystalline NdTc at its relaxed geometry (PBE, OQMD).

Unit cell a=4.362 b=4.362 c=4.362 alpha=60.00 beta=60.00 gamma=60.00
Positions (direct):
Nd  0.000  0.000  0.000
Tc  0.250  0.250  0.250

A is the most stable structure; the next one sits 81.6 kJ/mol of atoms above it.

--- A ---
# NdTlTc

Crystalline NdTlTc at its relaxed geometry (PBE, OQMD).

Unit cell a=4.836 b=4.836 c=4.836 alpha=60.00 beta=60.00 gamma=60.00
Positions (direct):
Tl  0.000  0.000  0.000
Nd  0.250  0.250  0.250
Tc  0.750  0.750  0.750

--- B ---
# NdTlTc

Crystalline NdTlTc at its relaxed geometry (PBE, OQMD).

Unit cell a=4.937 b=4.937 c=4.937 alpha=60.00 beta=60.00 gamma=60.00
Positions (direct):
Nd  0.000  0.000  0.000
Tc  0.250  0.250  0.250
Tl  0.750  0.750  0.750

A is the most stable structure; the next one sits 35.6 kJ/mol of atoms above it.